{
  "formula": "Sm4Y4Ho",
  "functional": "PBE-GGA",
  "state": "relaxed",
  "lattice_angstrom": [[-2.692, -2.916, -3.161], [-5.624, -3.841, 4.261], [-6.188, 4.307, -2.775]],
  "species": ["Sm", "Sm", "Sm", "Sm", "Ho", "Y", "Y", "Y", "Y"],
  "frac_coords": [[0.667, 0.333, 0.333], [0.333, 0.667, 0.667], [0.000, 0.333, 0.667], [0.000, 0.667, 0.333], [0.000, 0.000, 0.000], [0.334, 0.332, 0.000], [0.666, 0.000, 0.668], [0.666, 0.668, 0.000], [0.334, 0.000, 0.332]],
  "rho_g_cm3": 6.32,
  "magmom_total_mub_per_fu": 0.00,
  "polymorph_energy_mev_per_atom": 3,
  "sg": "I4/mmm, No. 139",
  "energy_ev_per_atom": -5.46,
  "delta_e_f_ev_per_fu": 0.2
}

---

{
  "formula": "Sm7YHo4",
  "functional": "PBE-GGA",
  "state": "relaxed",
  "lattice_angstrom": [[5.973, 0.000, 0.000], [2.987, 11.220, -0.327], [2.987, 0.163, 6.027]],
  "species": ["Ho", "Ho", "Ho", "Ho", "Sm", "Sm", "Sm", "Sm", "Sm", "Sm", "Sm", "Y"],
  "frac_coords": [[0.753, 0.682, 0.812], [0.640, 0.224, 0.497], [0.247, 0.318, 0.188], [0.360, 0.776, 0.503], [0.212, 0.079, 0.497], [0.500, 0.000, 0.000], [0.940, 0.323, 0.797], [0.631, 0.498, 0.240], [0.060, 0.677, 0.203], [0.788, 0.921, 0.503], [0.369, 0.502, 0.760], [0.000, 0.000, 0.000]],
  "rho_g_cm3": 7.40,
  "magmom_total_mub_per_fu": 0.00,
  "polymorph_energy_mev_per_atom": 266,
  "sg": "C2/m, No. 12",
  "energy_ev_per_atom": -4.55,
  "delta_e_f_ev_per_fu": 3.2
}

---

{
  "formula": "Sm3Y4Ho2",
  "functional": "PBE-GGA",
  "state": "relaxed",
  "lattice_angstrom": [[-4.639, -3.967, -0.117], [-0.339, -7.279, -8.652], [2.446, -10.852, 2.052]],
  "species": ["Ho", "Ho", "Ho", "Ho", "Sm", "Sm", "Sm", "Sm", "Sm", "Sm", "Y", "Y", "Y", "Y", "Y", "Y", "Y", "Y"],
  "frac_coords": [[0.916, 0.521, 0.243], [0.084, 0.479, 0.757], [0.416, 0.243, 0.521], [0.584, 0.757, 0.479], [0.747, 0.066, 0.268], [0.247, 0.268, 0.066], [0.250, 0.597, 0.403], [0.750, 0.403, 0.597], [0.753, 0.732, 0.934], [0.253, 0.934, 0.732], [0.920, 0.186, 0.909], [0.575, 0.422, 0.152], [0.075, 0.152, 0.422], [0.580, 0.091, 0.814], [0.425, 0.578, 0.848], [0.925, 0.848, 0.578], [0.420, 0.909, 0.186], [0.080, 0.814, 0.091]],
  "rho_g_cm3": 6.47,
  "magmom_total_mub_per_fu": 0.00,
  "polymorph_energy_mev_per_atom": 81,
  "sg": "C2/c, No. 15",
  "energy_ev_per_atom": -5.36,
  "delta_e_f_ev_per_fu": 0.9
}

---

{
  "formula": "SmY4Ho3",
  "functional": "PBE-GGA",
  "state": "relaxed",
  "lattice_angstrom": [[0.222, -3.067, -1.802], [10.227, -2.986, -0.704], [-0.417, -6.695, 4.283]],
  "species": ["Y", "Y", "Y", "Y", "Sm", "Ho", "Ho", "Ho"],
  "frac_coords": [[0.497, 0.751, 0.251], [0.503, 0.249, 0.749], [0.000, 0.752, 0.749], [0.000, 0.249, 0.251], [0.500, 0.500, 0.000], [0.500, 0.000, 0.500], [0.000, 0.000, 0.000], [0.000, 0.500, 0.500]],
  "rho_g_cm3": 6.51,
  "magmom_total_mub_per_fu": 0.00,
  "polymorph_energy_mev_per_atom": 19,
  "sg": "Pmmm, No. 47",
  "energy_ev_per_atom": -5.51,
  "delta_e_f_ev_per_fu": 0.2
}

---

{
  "formula": "Sm2Y4Ho5",
  "functional": "PBE-GGA",
  "state": "relaxed",
  "lattice_angstrom": [[-2.720, 0.744, 2.027], [-4.544, -6.432, -3.737], [6.067, -6.927, 7.711]],
  "species": ["Ho", "Ho", "Ho", "Ho", "Ho", "Y", "Y", "Y", "Y", "Sm", "Sm"],
  "frac_coords": [[0.859, 0.879, 0.717], [0.500, 0.000, 0.000], [0.767, 0.173, 0.534], [0.233, 0.827, 0.466], [0.141, 0.121, 0.283], [0.678, 0.474, 0.356], [0.045, 0.360, 0.091], [0.322, 0.526, 0.644], [0.955, 0.640, 0.909], [0.093, 0.745, 0.185], [0.907, 0.255, 0.815]],
  "rho_g_cm3": 6.88,
  "magmom_total_mub_per_fu": 0.00,
  "polymorph_energy_mev_per_atom": 0,
  "sg": "C2/m, No. 12",
  "energy_ev_per_atom": -5.14,
  "delta_e_f_ev_per_fu": 1.7
}

---

{
  "formula": "SmY5Ho5",
  "functional": "PBE-GGA",
  "state": "relaxed",
  "lattice_angstrom": [[6.080, 0.000, 0.000], [-3.040, 5.265, 0.000], [0.000, 0.000, 11.508]],
  "species": ["Ho", "Ho", "Ho", "Ho", "Ho", "Y", "Y", "Y", "Y", "Y", "Sm"],
  "frac_coords": [[0.000, 0.000, 0.266], [0.000, 0.000, 0.734], [0.832, 0.664, 0.500], [0.832, 0.168, 0.500], [0.336, 0.168, 0.500], [0.333, 0.667, 0.677], [0.667, 0.333, 0.840], [0.333, 0.667, 0.323], [0.667, 0.333, 0.160], [0.000, 0.000, 0.000], [0.333, 0.667, 0.000]],
  "rho_g_cm3": 6.40,
  "magmom_total_mub_per_fu": 0.00,
  "polymorph_energy_mev_per_atom": 152,
  "sg": "P-6m2, No. 187",
  "energy_ev_per_atom": -5.15,
  "delta_e_f_ev_per_fu": 3.3
}

---

{
  "formula": "SmYHo3",
  "functional": "PBE-GGA",
  "state": "relaxed",
  "lattice_angstrom": [[9.355, 0.000, 0.000], [0.000, 9.357, 0.000], [0.000, 0.000, 7.372]],
  "species": ["Sm", "Sm", "Sm", "Sm", "Ho", "Ho", "Ho", "Ho", "Ho", "Ho", "Ho", "Ho", "Ho", "Ho", "Ho", "Ho", "Y", "Y", "Y", "Y"],
  "frac_coords": [[0.673, 0.328, 0.250], [0.827, 0.828, 0.750], [0.173, 0.172, 0.250], [0.327, 0.672, 0.750], [0.374, 0.374, 0.500], [0.626, 0.626, 0.500], [0.874, 0.126, 0.000], [0.672, 0.327, 0.750], [0.626, 0.626, 0.000], [0.874, 0.126, 0.500], [0.172, 0.173, 0.750], [0.328, 0.673, 0.250], [0.828, 0.827, 0.250], [0.374, 0.374, 0.000], [0.126, 0.874, 0.000], [0.126, 0.874, 0.500], [0.000, 0.500, 0.500], [0.500, 0.000, 0.500], [0.500, 0.000, 0.000], [0.000, 0.500, 0.000]],
  "rho_g_cm3": 7.56,
  "magmom_total_mub_per_fu": 0.00,
  "polymorph_energy_mev_per_atom": 61,
  "sg": "Pnma, No. 62",
  "energy_ev_per_atom": -4.90,
  "delta_e_f_ev_per_fu": 0.4
}

---

{
  "formula": "SmY5Ho2",
  "functional": "PBE-GGA",
  "state": "relaxed",
  "lattice_angstrom": [[-2.008, 5.839, 2.690], [-4.728, -12.731, -2.608], [4.227, -5.975, 6.269]],
  "species": ["Y", "Y", "Y", "Y", "Y", "Y", "Y", "Y", "Y", "Y", "Ho", "Ho", "Ho", "Ho", "Sm", "Sm"],
  "frac_coords": [[0.666, 0.917, 0.335], [0.419, 0.667, 0.086], [0.460, 0.208, 0.291], [0.292, 0.542, 0.460], [0.791, 0.042, 0.958], [0.209, 0.958, 0.042], [0.540, 0.792, 0.709], [0.581, 0.333, 0.914], [0.708, 0.458, 0.540], [0.334, 0.083, 0.665], [0.084, 0.834, 0.418], [0.165, 0.416, 0.833], [0.916, 0.166, 0.582], [0.835, 0.584, 0.167], [0.956, 0.708, 0.793], [0.044, 0.292, 0.207]],
  "rho_g_cm3": 5.90,
  "magmom_total_mub_per_fu": 0.00,
  "polymorph_energy_mev_per_atom": 0,
  "sg": "P-1, No. 2",
  "energy_ev_per_atom": -5.77,
  "delta_e_f_ev_per_fu": 0.0
}